## Er2ZnSnGe (PBE-GGA)

Data for Er2ZnSnGe after structural relaxation.

Values from the calculation:
Total energy in eV per atom: -4.41

a b c (Å): 7.2226 4.3991 7.5387
angles (deg): 90.00 90.06 90.00
With the nearest neighbours (Å) after each atom.
Space group P2_1/m (No. 11)
Unique sites:
Er1 0.0069 0.2500 0.2186 x2  3 Ge 2.91-3.00, 2 Zn 3.16, 2 Sn 3.17
Er2 0.4933 0.2500 0.2174 x2  3 Ge 2.91-3.00, 2 Zn 3.15, 2 Sn 3.17
Zn1 0.2527 0.7500 0.4072 x2  1 Ge 2.47, 2 Sn 2.66
Sn1 0.2502 0.2500 0.6048 x2  2 Zn 2.66
Ge1 0.2496 0.7500 0.0790 x2  1 Zn 2.47